Entry 1:
Entry from the Alexandria database: crystalline LaScSn3 at its relaxed geometry (PBE).

Lattice parameters (Å, degrees): 5.397 5.397 5.397 90.00 90.00 90.00
Fractional positions:
Sc  0.000  0.000  0.000
Sn  0.000  0.500  0.000
Sn  0.000  0.000  0.500
Sn  0.500  0.000  0.000
La  0.500  0.500  0.500

Properties
Calculated density (g/cm3): 5.71
ΔE to the lowest computed polymorph (eV/atom): 0.000
Energy relative to the elements (meV/atom): -196.6
N(E_F) (states/eV per cell): 2.383
Space-group type: No. 221

---

Entry 2:
Entry from the Alexandria database: crystalline SrEr2In9 at its relaxed geometry (PBE).

Lattice parameters (Å, degrees): 4.702 4.702 14.100 90.00 90.00 90.00
Fractional positions:
Sr  0.000  0.000  0.000
Er  0.000  0.000  0.341
Er  0.000  0.000  0.659
In  0.500  0.500  0.000
In  0.500  0.500  0.336
In  0.500  0.500  0.664
In  0.500  0.000  0.176
In  0.500  0.000  0.500
In  0.500  0.000  0.824
In  0.000  0.500  0.176
In  0.000  0.500  0.500
In  0.000  0.500  0.824

Properties
Calculated density (g/cm3): 7.75
Energy relative to the elements (meV/atom): -356.3
N(E_F) (states/eV per cell): 4.730
Space-group type: No. 123